## NaTiBi2 (PBE)

Data for a geometry-optimized NaTiBi2 structure.

It has space group I-42d (No. 122), with a = 6.288 Å, b = 6.288 Å, c = 16.226 Å, α = 90.00°, β = 90.00° and γ = 90.00°. The asymmetric unit holds Na at (0.000, 0.000, 0.000), Ti at (0.000, 0.000, 0.500) and Bi at (0.132, 0.250, 0.625).

For the total magnetization, the calculation gives 0.00 μB/f.u. The calculated density is 5.061 Mg/m³. The calculation puts the energy above the most stable polymorph in this dataset at 0.367 eV/atom. The calculation puts the formation energy at 0.2036 eV/atom. The value obtained for the density of states at the Fermi level is 17.556 states/eV/cell.